1.
Below is a geometry-optimized Ta3Mo7W2 structure, with properties calculated at the PBE level.

The value obtained for the total moment is 0.000 μB/cell. As for the crystal system: orthorhombic. The density of states at the Fermi level is 0.838 states/eV per atom. The total energy comes out at -11.11 eV/atom.

Geometry as CIF:
```
data_Ta3Mo7W2
_chemical_formula_sum 'Ta6 Mo14 W4'
_symmetry_space_group_name_H-M 'C m m m'
_symmetry_Int_Tables_number 65
_symmetry_space_group_name_Hall '-C 2 2'
_cell_length_a 4.405
_cell_length_b 21.691
_cell_length_c 4.536
_cell_angle_alpha 90.00
_cell_angle_beta 90.00
_cell_angle_gamma 90.00
loop_
_atom_site_label
_atom_site_type_symbol
_atom_site_fract_x
_atom_site_fract_y
_atom_site_fract_z
_atom_site_occupancy
Ta1 Ta 0.000 0.000 0.000 1
Ta2 Ta 0.000 0.151 0.000 1
Mo1 Mo 0.000 0.074 0.500 1
Mo2 Mo 0.000 0.216 0.500 1
Mo3 Mo 0.000 0.425 0.000 1
Mo4 Mo 0.000 0.500 0.500 1
W1 W 0.000 0.354 0.500 1
```

2.
Below is a geometry-optimized KYCd2 structure, with properties calculated at the PBE level.

The value obtained for the total moment is 0.000 μB/cell. As for the crystal system: cubic. The density of states at the Fermi level is 0.583 states/eV per atom. The value obtained for the energy above the most stable polymorph in this dataset is 14.6 kJ/mol of atoms. The total energy comes out at -2.31 eV/atom.

Geometry as CIF:
```
data_KYCd2
_chemical_formula_sum 'K4 Y4 Cd8'
_symmetry_space_group_name_H-M 'F m -3 m'
_symmetry_Int_Tables_number 225
_symmetry_space_group_name_Hall '-F 4 2 3'
_cell_length_a 7.798
_cell_length_b 7.798
_cell_length_c 7.798
_cell_angle_alpha 90.00
_cell_angle_beta 90.00
_cell_angle_gamma 90.00
loop_
_atom_site_label
_atom_site_type_symbol
_atom_site_fract_x
_atom_site_fract_y
_atom_site_fract_z
_atom_site_occupancy
K1 K 0.000 0.000 0.000 1
Y1 Y 0.000 0.000 0.500 1
Cd1 Cd 0.250 0.250 0.250 1
```

3.
Below is a geometry-optimized La8Sn3Sb2 structure, with properties calculated at the PBE level.

The value obtained for the total moment is 0.060 μB/cell. As for the crystal system: monoclinic. The density of states at the Fermi level is 1.082 states/eV per atom. The total energy comes out at -5.11 eV/atom. As for the energy relative to the elements, uncorrected: -6.78 eV per formula unit.

Geometry as CIF:
```
data_La8Sn3Sb2
_chemical_formula_sum 'La16 Sn6 Sb4'
_symmetry_space_group_name_H-M 'C 1 2/m 1'
_symmetry_Int_Tables_number 12
_symmetry_space_group_name_Hall '-C 2y'
_cell_length_a 16.482
_cell_length_b 8.756
_cell_length_c 7.853
_cell_angle_alpha 90.00
_cell_angle_beta 108.00
_cell_angle_gamma 90.00
loop_
_atom_site_label
_atom_site_type_symbol
_atom_site_fract_x
_atom_site_fract_y
_atom_site_fract_z
_atom_site_occupancy
La1 La 0.098 0.000 0.337 1
La2 La 0.115 0.245 0.904 1
La3 La 0.118 0.500 0.417 1
Sn1 Sn 0.000 0.242 0.500 1
Sn2 Sn 0.000 0.500 0.000 1
Sb1 Sb 0.247 0.500 0.839 1
```